CsCrTeO6: optimized geometry, PBE with a Hubbard U.

Computed properties:
- Energy: -5.86 eV per atom
- Total magnetization: 0.11 μB per atom

Unit cell a=5.1956 b=5.1956 c=6.7845 alpha=90.00 beta=90.00 gamma=60.00
Closest atoms and distances in Å follow each position.
Atoms (fractional coordinates):
Cs 0.0000 0.0000 0.0000  6 O 3.10
Cr 0.6667 0.6667 0.5000  6 O 1.90
Te 0.3333 0.3333 0.5000  6 O 1.96
O 0.9909 0.4100 0.3360  1 Cr 1.90, 1 Te 1.96
O 0.4099 0.9909 0.6640  1 Cr 1.90, 1 Te 1.96
O 0.5991 0.4100 0.6640  1 Cr 1.90, 1 Te 1.96
O 0.9909 0.5991 0.6640  1 Cr 1.90, 1 Te 1.96
O 0.4099 0.5991 0.3360  1 Cr 1.90, 1 Te 1.96
O 0.5991 0.9909 0.3360  1 Cr 1.90, 1 Te 1.96